Record 1
The following is a PBE calculation of RbCeTl2Br8 after structural relaxation, from Alexandria.

abc: 6.995 7.388 9.711
angles: 90.02 90.06 90.15
Space group P-1 (No. 2)
Asymmetric unit:
Rb  0.000  0.000  0.000
Ce  0.000  0.000  0.500
Tl  0.500  0.500  0.244
Br  0.231  0.314  0.500
Br  0.236  0.854  0.294
Br  0.236  0.855  0.706
Br  0.272  0.376  0.000

Output
- Spin magnetization: 0.0 μB/f.u.
- Uncorrected energy: -3.291 eV/atom
- Formation energy (no corrections): -1.21 eV/atom

Record 2
The following is a PBE calculation of RbCe2TlBr8 after structural relaxation, from Alexandria.

abc: 8.0462 8.0462 8.6545
angles: 90.00 90.00 120.00
Space group P-3 (No. 147)
Asymmetric unit:
Rb  0.0000  0.0000  0.0000
Ce  0.3333  0.6667  0.4139
Tl  0.0000  0.0000  0.5000
Br  0.0588  0.3869  0.6598
Br  0.3333  0.6667  0.0910

Output
- Spin magnetization: 2.0 μB/f.u.
- Uncorrected energy: -3.965 eV/atom
- Formation energy (no corrections): -1.58 eV/atom

Record 3
The following is a PBE calculation of Rb2CeTlBr6 after structural relaxation, from Alexandria.

abc: 8.141 8.690 14.152
angles: 90.00 124.04 90.00
Space group P2_1/c (No. 14)
Asymmetric unit:
Rb  0.217  0.077  0.247
Ce  0.500  0.000  0.000
Tl  0.000  0.000  0.500
Br  0.153  0.181  0.944
Br  0.260  0.718  0.932
Br  0.389  0.047  0.767

Output
- Spin magnetization: 1.0 μB/f.u.
- Uncorrected energy: -3.658 eV/atom
- Formation energy (no corrections): -1.63 eV/atom

Record 4
The following is a PBE calculation of Rb2CeTlBr8 after structural relaxation, from Alexandria.

abc: 6.543 8.247 9.486
angles: 89.55 89.24 88.98
Space group P-1 (No. 2)
Asymmetric unit:
Rb  0.004  0.000  0.258
Ce  0.500  0.500  0.000
Tl  0.500  0.500  0.500
Br  0.249  0.383  0.219
Br  0.253  0.379  0.787
Br  0.285  0.797  0.997
Br  0.373  0.839  0.500

Output
- Spin magnetization: 0.1 μB/f.u.
- Uncorrected energy: -3.322 eV/atom
- Formation energy (no corrections): -1.35 eV/atom

Record 5
The following is a PBE calculation of RbCeTlBr6 after structural relaxation, from Alexandria.

abc: 7.495 7.495 14.354
angles: 90.00 90.00 90.00
Space group P4_2nm (No. 102)
Asymmetric unit:
Rb  0.000  0.000  0.000
Ce  0.000  0.000  0.664
Tl  0.000  0.000  0.331
Br  0.178  0.178  0.518
Br  0.187  0.187  0.802
Br  0.236  0.236  0.169

Output
- Spin magnetization: 0.0 μB/f.u.
- Uncorrected energy: -3.630 eV/atom
- Formation energy (no corrections): -1.49 eV/atom

Record 6
The following is a PBE calculation of RbCeTl2Br6 after structural relaxation, from Alexandria.

abc: 7.958 8.901 13.735
angles: 90.00 122.30 90.00
Space group P2_1/c (No. 14)
Asymmetric unit:
Rb  0.000  0.000  0.000
Ce  0.500  0.000  0.500
Tl  0.201  0.066  0.720
Br  0.152  0.163  0.464
Br  0.243  0.735  0.402
Br  0.412  0.086  0.271

Output
- Spin magnetization: 1.0 μB/f.u.
- Uncorrected energy: -3.607 eV/atom
- Formation energy (no corrections): -1.44 eV/atom

Record 7
The following is a PBE calculation of RbCeZn2Br8 after structural relaxation, from Alexandria.

abc: 6.9392 6.9392 31.1290
angles: 90.00 90.00 120.00
Space group R-3 (No. 148, hexagonal axes)
Asymmetric unit:
Rb  0.0000  0.0000  0.0000
Ce  0.0000  0.0000  0.5000
Zn  0.0000  0.0000  0.2509
Br  0.0000  0.0000  0.3263
Br  0.0052  0.6774  0.8891

Output
- Spin magnetization: 1.0 μB/f.u.
- Uncorrected energy: -3.214 eV/atom
- Formation energy (no corrections): -1.31 eV/atom

Record 8
The following is a PBE calculation of Ce2ReBr after structural relaxation, from Alexandria.

abc: 4.0522 4.0522 22.9574
angles: 90.00 90.00 120.00
Space group R-3m (No. 166, hexagonal axes)
Asymmetric unit:
Ce  0.0000  0.0000  0.2319
Re  0.0000  0.0000  0.5000
Br  0.0000  0.0000  0.0000

Output
- Spin magnetization: 0.3 μB/f.u.
- Uncorrected energy: -6.989 eV/atom
- Formation energy (no corrections): -0.49 eV/atom
- Energy relative to the lowest polymorph listed for this composition: 0.51 kcal/mol of atoms

Record 9
The following is a PBE calculation of Ce3ReBr3 after structural relaxation, from Alexandria.

abc: 8.852 4.150 11.959
angles: 90.00 93.30 90.00
Space group P2_1/m (No. 11)
Asymmetric unit:
Ce  0.103  0.250  0.385
Ce  0.124  0.250  0.846
Ce  0.324  0.750  0.625
Re  0.114  0.250  0.623
Br  0.126  0.250  0.117
Br  0.369  0.750  0.877
Br  0.391  0.750  0.371

Output
- Spin magnetization: 2.3 μB/f.u.
- Uncorrected energy: -6.061 eV/atom
- Formation energy (no corrections): -1.02 eV/atom

Record 10
The following is a PBE calculation of Ce4ReBr5 after structural relaxation, from Alexandria.

abc: 18.603 4.138 8.818
angles: 90.00 104.55 90.00
Space group C2/m (No. 12)
Asymmetric unit:
Ce  0.000  0.000  0.222
Ce  0.149  0.500  0.083
Re  0.000  0.500  0.000
Br  0.000  0.500  0.500
Br  0.168  0.000  0.339
Br  0.171  0.000  0.839

Output
- Spin magnetization: 4.5 μB/f.u.
- Uncorrected energy: -5.671 eV/atom
- Formation energy (no corrections): -1.22 eV/atom

Record 11
The following is a PBE calculation of Ce2ReBr after structural relaxation, from Alexandria.

abc: 3.390 3.390 8.265
angles: 90.00 90.00 90.00
Space group P4/mmm (No. 123)
Asymmetric unit:
Ce  0.000  0.000  0.214
Re  0.500  0.500  0.000
Br  0.500  0.500  0.500

Output
- Spin magnetization: 1.2 μB/f.u.
- Uncorrected energy: -7.011 eV/atom
- Formation energy (no corrections): -0.51 eV/atom
- Energy relative to the lowest polymorph listed for this composition: 0.00 kcal/mol of atoms

Record 12
The following is a PBE calculation of Ce4Rh2Br5 after structural relaxation, from Alexandria.

abc: 23.433 3.854 8.168
angles: 90.00 90.06 90.00
Space group C2/m (No. 12)
Asymmetric unit:
Ce  0.018  0.000  0.291
Ce  0.160  0.500  0.449
Rh  0.075  0.000  0.589
Br  0.000  0.500  0.000
Br  0.142  0.000  0.169
Br  0.216  0.000  0.689

Output
- Spin magnetization: 4.5 μB/f.u.
- Uncorrected energy: -5.356 eV/atom
- Formation energy (no corrections): -1.10 eV/atom